Entry 1:
Here is Na3CrTc after structural relaxation from the Alexandria database. Energies are from PBE.

a = 6.1132 Å, b = 6.1132 Å, c = 6.1132 Å
α = 90.00°, β = 90.00°, γ = 90.00°
Positions (direct):
Na: 0.0000 0.0000 0.5000
Na: 0.0000 0.5000 0.0000
Na: 0.5000 0.0000 0.0000
Cr: 0.5000 0.5000 0.5000
Tc: 0.0000 0.0000 0.0000

DFT formation energy   1.677 eV/atom
E above lowest polymorph   3 meV/atom
Total DFT energy (no corrections)   -3.112 eV/atom



Entry 2:
Here is TbY2Ho3S6 after structural relaxation from the Alexandria database. Energies are from PBE.

a = 6.7628 Å, b = 6.7628 Å, c = 6.7615 Å
α = 99.56°, β = 99.56°, γ = 120.21°
Positions (direct):
Tb: 0.0000 0.0000 0.0000
Y: 0.3334 0.6666 0.0000
Y: 0.6666 0.3334 0.0000
Ho: 0.1665 0.8335 0.5000
Ho: 0.5000 0.5000 0.5000
Ho: 0.8335 0.1665 0.5000
S: 0.0845 0.4184 0.2534
S: 0.2494 0.2494 0.7466
S: 0.4184 0.0845 0.2534
S: 0.5816 0.9155 0.7466
S: 0.7506 0.7506 0.2534
S: 0.9155 0.5816 0.7466

Formation energy from raw total energies   -1991 meV/atom
Total DFT energy (no corrections)   -6.663 eV/atom



Entry 3:
Here is BaNa2Ga after structural relaxation from the Alexandria database. Energies are from PBE.

a = 13.0163 Å, b = 13.0163 Å, c = 13.0163 Å
α = 158.31°, β = 158.31°, γ = 30.87°
Positions (direct):
Ba: 0.0000 0.0000 0.0000
Ba: 0.7500 0.2500 0.5000
Na: 0.1756 0.6250 0.0506
Na: 0.3750 0.4256 0.5506
Na: 0.5744 0.1250 0.9494
Na: 0.8750 0.8244 0.4494
Ga: 0.2500 0.7500 0.5000
Ga: 0.5000 0.5000 0.0000

DFT formation energy   0.067 eV/atom
E above lowest polymorph   60 meV/atom
Total DFT energy (no corrections)   -1.830 eV/atom



Entry 4:
Here is BaSrZn10 after structural relaxation from the Alexandria database. Energies are from PBE.

a = 4.3077 Å, b = 5.6693 Å, c = 9.7273 Å
α = 90.00°, β = 90.00°, γ = 90.00°
Positions (direct):
Ba: 0.0000 0.0000 0.0000
Sr: 0.0000 0.5000 0.5000
Zn: 0.0000 0.0000 0.3387
Zn: 0.0000 0.0000 0.6613
Zn: 0.0000 0.5000 0.1720
Zn: 0.0000 0.5000 0.8280
Zn: 0.5000 0.0000 0.5000
Zn: 0.5000 0.2572 0.2591
Zn: 0.5000 0.2572 0.7409
Zn: 0.5000 0.5000 0.0000
Zn: 0.5000 0.7428 0.2591
Zn: 0.5000 0.7428 0.7409

DFT formation energy   -0.176 eV/atom
Total DFT energy (no corrections)   -1.538 eV/atom



Entry 5:
Here is ZrPb2W after structural relaxation from the Alexandria database. Energies are from PBE.

a = 5.6333 Å, b = 5.6333 Å, c = 5.6333 Å
α = 134.91°, β = 134.91°, γ = 65.67°
Positions (direct):
Zr: 0.0000 0.0000 0.0000
Pb: 0.2500 0.7500 0.5000
Pb: 0.5000 0.5000 0.0000
W: 0.7500 0.2500 0.5000

DFT formation energy   0.627 eV/atom
E above lowest polymorph   279 meV/atom
Total DFT energy (no corrections)   -6.603 eV/atom



Entry 6:
Here is LiCuSiPt after structural relaxation from the Alexandria database. Energies are from PBE.

a = 4.1548 Å, b = 4.1548 Å, c = 4.1548 Å
α = 60.00°, β = 60.00°, γ = 60.00°
Positions (direct):
Li: 0.0000 0.0000 0.0000
Cu: 0.2500 0.2500 0.2500
Si: 0.5000 0.5000 0.5000
Pt: 0.7500 0.7500 0.7500

Formation energy from raw total energies   -505 meV/atom
Total DFT energy (no corrections)   -4.873 eV/atom



Entry 7:
Here is Tb2Pr5YHo after structural relaxation from the Alexandria database. Energies are from PBE.

a = 10.7464 Å, b = 10.7464 Å, c = 10.7229 Å
α = 90.00°, β = 90.00°, γ = 149.33°
Positions (direct):
Tb: 0.1138 0.8862 0.5000
Tb: 0.1147 0.8853 0.0668
Tb: 0.8853 0.1147 0.5668
Tb: 0.8862 0.1138 0.0000
Pr: 0.0142 0.9858 0.7763
Pr: 0.2779 0.7221 0.0750
Pr: 0.2951 0.7049 0.4687
Pr: 0.3826 0.6174 0.7820
Pr: 0.4847 0.5153 0.5071
Pr: 0.5153 0.4847 0.0071
Pr: 0.6174 0.3826 0.2820
Pr: 0.7049 0.2951 0.9687
Pr: 0.7221 0.2779 0.5750
Pr: 0.9858 0.0142 0.2763
Y: 0.4052 0.5948 0.2277
Y: 0.5948 0.4052 0.7277
Ho: 0.1990 0.8010 0.7720
Ho: 0.8010 0.1990 0.2720

DFT formation energy   0.141 eV/atom
Total DFT energy (no corrections)   -4.770 eV/atom



Entry 8:
Here is BSbSe2 after structural relaxation from the Alexandria database. Energies are from PBE.

a = 4.2667 Å, b = 7.1434 Å, c = 7.1744 Å
α = 68.63°, β = 77.90°, γ = 86.48°
Positions (direct):
B: 0.1550 0.4667 0.0671
B: 0.8450 0.5333 0.9329
Sb: 0.2611 0.9822 0.6847
Sb: 0.7389 0.0178 0.3153
Se: 0.0457 0.6777 0.6248
Se: 0.4665 0.7028 0.0358
Se: 0.5335 0.2972 0.9642
Se: 0.9543 0.3223 0.3752

E above lowest polymorph   8 meV/atom
Formation energy from raw total energies   -70 meV/atom
Total DFT energy (no corrections)   -4.512 eV/atom



Entry 9:
Here is AcSmGePt after structural relaxation from the Alexandria database. Energies are from PBE.

a = 4.8214 Å, b = 4.8214 Å, c = 10.5014 Å
α = 90.00°, β = 90.00°, γ = 90.00°
Positions (direct):
Ac: 0.2500 0.2500 0.1691
Ac: 0.7500 0.7500 0.8309
Sm: 0.2500 0.7500 0.5000
Sm: 0.7500 0.2500 0.5000
Ge: 0.2500 0.2500 0.8792
Ge: 0.7500 0.7500 0.1208
Pt: 0.2500 0.2500 0.6515
Pt: 0.7500 0.7500 0.3485

DFT formation energy   -0.737 eV/atom
E above lowest polymorph   53 meV/atom
Total DFT energy (no corrections)   -5.608 eV/atom



Entry 10:
Here is Cs4RbSe after structural relaxation from the Alexandria database. Energies are from PBE.

a = 13.6048 Å, b = 13.6069 Å, c = 11.4795 Å
α = 90.00°, β = 90.00°, γ = 90.00°
Positions (direct):
Cs: 0.0009 0.2305 0.0851
Cs: 0.1980 0.6994 0.7126
Cs: 0.2005 0.2993 0.7107
Cs: 0.2464 0.9997 0.9131
Cs: 0.2536 0.4997 0.0869
Cs: 0.2995 0.7993 0.2893
Cs: 0.3020 0.1994 0.2874
Cs: 0.4991 0.7305 0.9149
Cs: 0.5009 0.2695 0.9149
Cs: 0.6980 0.8006 0.2874
Cs: 0.7005 0.2007 0.2893
Cs: 0.7464 0.5003 0.0869
Cs: 0.7536 0.0003 0.9131
Cs: 0.7995 0.7007 0.7107
Cs: 0.8020 0.3006 0.7126
Cs: 0.9991 0.7695 0.0851
Rb: 0.0000 0.0000 0.5023
Rb: 0.0000 0.5000 0.4230
Rb: 0.5000 0.0000 0.5770
Rb: 0.5000 0.5000 0.4977
Se: 0.2492 0.7499 0.0008
Se: 0.2508 0.2499 0.9992
Se: 0.7492 0.7501 0.9992
Se: 0.7508 0.2501 0.0008

Formation energy from raw total energies   -497 meV/atom
Total DFT energy (no corrections)   -1.809 eV/atom



Entry 11:
Here is Sc2SbSe after structural relaxation from the Alexandria database. Energies are from PBE.

a = 7.2410 Å, b = 7.2410 Å, c = 7.2410 Å
α = 151.27°, β = 149.35°, γ = 42.50°
Positions (direct):
Sc: 0.0000 0.0000 0.0000
Sc: 0.7324 0.2324 0.5000
Sb: 0.3978 0.3978 0.0000
Se: 0.1541 0.6541 0.5000

E above lowest polymorph   149 meV/atom
Formation energy from raw total energies   -1115 meV/atom
Total DFT energy (no corrections)   -6.183 eV/atom



Entry 12:
Here is Fe8Co4Ni after structural relaxation from the Alexandria database. Energies are from PBE.

a = 8.2002 Å, b = 8.2002 Å, c = 8.2002 Å
α = 34.98°, β = 34.98°, γ = 34.98°
Positions (direct):
Fe: 0.1890 0.1890 0.1890
Fe: 0.2362 0.7502 0.7502
Fe: 0.2498 0.2498 0.7638
Fe: 0.2498 0.7638 0.2498
Fe: 0.7502 0.2362 0.7502
Fe: 0.7502 0.7502 0.2362
Fe: 0.7638 0.2498 0.2498
Fe: 0.8110 0.8110 0.8110
Co: 0.0000 0.0000 0.0000
Co: 0.0000 0.5000 0.5000
Co: 0.5000 0.0000 0.5000
Co: 0.5000 0.5000 0.0000
Ni: 0.5000 0.5000 0.5000

DFT formation energy   0.269 eV/atom
Total DFT energy (no corrections)   -7.569 eV/atom